1.
The following is a PBE with a Hubbard U calculation of a relaxed Li2Cr2FeO6 crystal, from Alexandria.

Geometry as CIF:
```
data_Li2Cr2FeO6
_cell_length_a 6.695
_cell_length_b 6.674
_cell_length_c 8.319
_cell_angle_alpha 71.69
_cell_angle_beta 108.51
_cell_angle_gamma 96.74
_symmetry_space_group_name_H-M 'P 1'
_symmetry_Int_Tables_number 1
loop_
_symmetry_equiv_pos_as_xyz
'x,y,z'
loop_
_atom_site_label
_atom_site_fract_x
_atom_site_fract_y
_atom_site_fract_z
Cr1 0.669 0.333 0.334
Cr2 0.000 0.333 0.667
Cr3 0.667 0.000 0.666
Cr4 0.666 0.664 0.000
Cr5 0.001 0.669 0.334
Cr6 0.998 0.001 0.999
O1 0.323 0.676 0.434
O2 0.656 0.344 0.098
O3 0.680 0.320 0.569
O4 0.311 0.018 0.076
O5 0.688 0.648 0.253
O6 0.313 0.354 0.743
O7 0.978 0.355 0.412
O8 0.648 0.016 0.413
O9 0.979 0.685 0.080
O10 0.344 0.657 0.900
O11 0.011 0.990 0.235
O12 0.987 0.013 0.764
O13 0.689 0.978 0.921
O14 0.021 0.646 0.588
O15 0.356 0.315 0.258
O16 0.645 0.687 0.746
O17 0.354 0.980 0.591
O18 0.019 0.317 0.920
Fe1 0.331 0.999 0.334
Fe2 0.333 0.667 0.667
Fe3 0.335 0.335 0.999
Li1 0.663 0.668 0.499
Li2 0.001 0.338 0.165
Li3 0.003 0.665 0.834
Li4 0.326 0.994 0.831
Li5 0.340 0.340 0.503
Li6 0.665 0.995 0.169
```

Uncorrected energy = -220.9 eV/cell

=====

2.
The following is a PBE with a Hubbard U calculation of a relaxed Li8CrFe3O12 crystal, from Alexandria.

Geometry as CIF:
```
data_Li8CrFe3O12
_cell_length_a 8.357
_cell_length_b 4.937
_cell_length_c 4.922
_cell_angle_alpha 89.84
_cell_angle_beta 90.00
_cell_angle_gamma 90.00
_symmetry_space_group_name_H-M 'P 1'
_symmetry_Int_Tables_number 1
loop_
_symmetry_equiv_pos_as_xyz
'x,y,z'
loop_
_atom_site_label
_atom_site_fract_x
_atom_site_fract_y
_atom_site_fract_z
Li1 0.231 0.000 0.500
Li2 0.756 0.500 0.500
Li3 0.254 0.000 0.000
Li4 0.731 0.500 0.000
Li5 0.920 0.000 0.500
Li6 0.417 0.500 0.000
Li7 0.566 0.000 0.000
Li8 0.071 0.500 0.500
O1 0.919 0.667 0.780
O2 0.743 0.854 0.250
O3 0.245 0.651 0.754
O4 0.067 0.829 0.215
O5 0.919 0.333 0.220
O6 0.567 0.327 0.285
O7 0.743 0.146 0.750
O8 0.567 0.673 0.715
O9 0.417 0.172 0.714
O10 0.417 0.828 0.286
O11 0.245 0.349 0.246
O12 0.067 0.171 0.785
Fe1 0.405 0.500 0.500
Fe2 0.581 0.000 0.500
Fe3 0.082 0.500 0.000
Cr1 0.904 0.000 0.000
```

Uncorrected energy = -136.3 eV/cell

=====

3.
The following is a PBE with a Hubbard U calculation of a relaxed Li2CrFe3O8 crystal, from Alexandria.

Geometry as CIF:
```
data_Li2CrFe3O8
_cell_length_a 5.805
_cell_length_b 5.805
_cell_length_c 9.473
_cell_angle_alpha 90.00
_cell_angle_beta 90.00
_cell_angle_gamma 119.52
_symmetry_space_group_name_H-M 'P 1'
_symmetry_Int_Tables_number 1
loop_
_symmetry_equiv_pos_as_xyz
'x,y,z'
loop_
_atom_site_label
_atom_site_fract_x
_atom_site_fract_y
_atom_site_fract_z
Fe1 0.663 0.826 0.214
Fe2 0.337 0.174 0.714
Fe3 0.174 0.337 0.214
Fe4 0.171 0.829 0.213
Fe5 0.826 0.663 0.714
Fe6 0.829 0.171 0.713
Li1 0.001 0.999 0.996
Li2 0.332 0.668 0.896
Li3 0.668 0.332 0.396
Li4 0.999 0.001 0.496
Cr1 0.669 0.331 0.986
Cr2 0.331 0.669 0.486
O1 0.478 0.961 0.336
O2 0.164 0.836 0.598
O3 0.845 0.675 0.101
O4 0.836 0.164 0.098
O5 0.039 0.522 0.336
O6 0.483 0.517 0.346
O7 0.998 0.002 0.808
O8 0.002 0.998 0.308
O9 0.666 0.334 0.608
O10 0.334 0.666 0.108
O11 0.522 0.039 0.836
O12 0.517 0.483 0.846
O13 0.961 0.478 0.836
O14 0.325 0.155 0.101
O15 0.675 0.845 0.601
O16 0.155 0.325 0.601
```

Uncorrected energy = -175.0 eV/cell